PBE InWSe2, relaxed; volume = 23.64 Å³/atom; crystal system = orthorhombic; raw formation energy = 0.67 eV/f.u.
1.0
3.0734 0.0000 0.0000
0.0000 5.1042 0.0000
0.0000 0.0000 12.0568
In W Se
2 2 4
direct
0.0000 0.0000 0.0000
0.5000 0.5000 0.5000
0.0000 0.0000 0.5000
0.5000 0.5000 0.0000
0.0000 0.5000 0.1701
0.0000 0.5000 0.8299
0.5000 0.0000 0.3299
0.5000 0.0000 0.6701

PBE InWSe2, relaxed; volume = 24.63 Å³/atom; crystal system = monoclinic; raw formation energy = 0.02 eV/f.u.
1.0
10.7690 0.0000 0.0000
0.0000 3.2458 0.0000
-3.0298 0.0000 5.6380
In W Se
2 2 4
direct
0.0000 0.0000 0.0000
0.5000 0.5000 0.0000
0.2074 0.5000 0.9509
0.7074 0.0000 0.9509
0.2163 0.0000 0.6600
0.3684 0.0000 0.2610
0.7163 0.5000 0.6600
0.8684 0.5000 0.2610

PBE InWSe2, relaxed; volume = 20.24 Å³/atom; crystal system = orthorhombic; raw formation energy = 3.02 eV/f.u.
1.0
3.4012 0.0000 0.0000
0.0000 4.2156 0.0000
0.0000 0.0000 5.6453
In W Se
1 1 2
direct
0.0000 0.0000 0.0000
0.5000 0.0000 0.5000
0.0000 0.5000 0.5000
0.5000 0.5000 0.0000

PBE Y2InWSe, relaxed; volume = 33.51 Å³/atom; crystal system = tetragonal; raw formation energy = 6.89 eV/f.u.
1.0
5.7073 0.0000 0.0000
0.0000 5.7073 0.0000
0.0000 0.0000 5.1439
Y In W Se
2 1 1 1
direct
0.0000 0.5000 0.0000
0.5000 0.0000 0.0000
0.0000 0.0000 0.0000
0.5000 0.5000 0.5000
0.0000 0.0000 0.5000

PBE Y3InSe, relaxed; volume = 30.17 Å³/atom; crystal system = cubic; energy above the lowest structure with this stoichiometry = 0.266 eV per atom; raw formation energy = -3.33 eV/f.u.
1.0
5.3230 0.0000 0.0000
0.0000 5.3230 0.0000
0.0000 0.0000 5.3230
Y In Se
3 1 1
direct
0.0000 0.0000 0.5000
0.0000 0.5000 0.0000
0.5000 0.0000 0.0000
0.5000 0.5000 0.5000
0.0000 0.0000 0.0000

PBE Y7InSe5, relaxed; volume = 25.75 Å³/atom; crystal system = orthorhombic; raw formation energy = -19.10 eV/f.u.
1.0
2.0324 -6.7739 0.0000
2.0324 6.7739 0.0000
0.0000 0.0000 24.3150
Y In Se
14 2 10
direct
0.0188 0.9812 0.7500
0.1383 0.8617 0.0355
0.1383 0.8617 0.4645
0.3187 0.6813 0.6767
0.3187 0.6813 0.8233
0.4043 0.5957 0.1156
0.4043 0.5957 0.3844
0.5957 0.4043 0.6156
0.5957 0.4043 0.8844
0.6813 0.3187 0.1767
0.6813 0.3187 0.3233
0.8617 0.1383 0.5355
0.8617 0.1383 0.9645
0.9812 0.0188 0.2500
0.3065 0.6935 0.2500
0.6935 0.3065 0.7500
0.0473 0.9527 0.1399
0.0473 0.9527 0.3601
0.2254 0.7746 0.5717
0.2254 0.7746 0.9283
0.5000 0.5000 0.0000
0.5000 0.5000 0.5000
0.7746 0.2254 0.0717
0.7746 0.2254 0.4283
0.9527 0.0473 0.6399
0.9527 0.0473 0.8601